(1)
Compound: LiTlCdHg
Source: OQMD via LeMat-Bulk
Functional: PBE
Structure: relaxed

Structure (POSCAR):
```
LiTlCdHg
1.0
0.000 3.571 3.571
3.571 0.000 3.571
3.571 3.571 0.000
Li Tl Cd Hg
1 1 1 1
direct
0.000 0.000 0.000
0.250 0.250 0.250
0.500 0.500 0.500
0.750 0.750 0.750
```

distance to the lowest polymorph of the same formula = 0 meV per atom
energy = -1.505 eV/atom
symmetry = No. 216
crystal system = cubic

(2)
Compound: Li4Tl2CdHg
Source: OQMD via LeMat-Bulk
Functional: PBE
Structure: relaxed

Structure (POSCAR):
```
Li4Tl2CdHg
1.0
4.826 0.000 0.000
0.000 4.826 0.000
0.000 0.000 6.791
Li Tl Cd Hg
4 2 1 1
direct
0.000 0.000 0.000
0.000 0.500 0.248
0.500 0.000 0.752
0.500 0.500 0.500
0.000 0.500 0.747
0.500 0.000 0.253
0.000 0.000 0.500
0.500 0.500 0.000
```

energy = -1.934 eV/atom
symmetry = No. 115
crystal system = tetragonal

(3)
Compound: LiTlCdHg
Source: OQMD via LeMat-Bulk
Functional: PBE
Structure: relaxed

Structure (POSCAR):
```
LiTlCdHg
1.0
0.000 3.590 3.590
3.590 0.000 3.590
3.590 3.590 0.000
Li Tl Cd Hg
1 1 1 1
direct
0.000 0.000 0.000
0.750 0.750 0.750
0.250 0.250 0.250
0.500 0.500 0.500
```

distance to the lowest polymorph of the same formula = 36 meV per atom
energy = -1.469 eV/atom
symmetry = No. 216
crystal system = cubic

(4)
Compound: LuCdHg
Source: OQMD via LeMat-Bulk
Functional: PBE
Structure: relaxed

Structure (POSCAR):
```
LuCdHg
1.0
0.000 3.411 3.411
3.411 0.000 3.411
3.411 3.411 0.000
Lu Cd Hg
1 1 1
direct
0.000 0.000 0.000
0.500 0.500 0.500
0.750 0.750 0.750
```

energy = -2.099 eV/atom
symmetry = No. 216
ΔE_f = -0.1938 eV per atom
crystal system = cubic
magnetization = 0.03 μB per formula unit

(5)
Compound: LuMgCdHg
Source: OQMD via LeMat-Bulk
Functional: PBE
Structure: relaxed

Structure (POSCAR):
```
LuMgCdHg
1.0
0.000 3.552 3.552
3.552 0.000 3.552
3.552 3.552 0.000
Lu Mg Cd Hg
1 1 1 1
direct
0.000 0.000 0.000
0.750 0.750 0.750
0.250 0.250 0.250
0.500 0.500 0.500
```

distance to the lowest polymorph of the same formula = 227 meV per atom
energy = -1.934 eV/atom
symmetry = No. 216
crystal system = cubic
magnetization = 0.00 μB per formula unit

(6)
Compound: LuMgCdHg
Source: OQMD via LeMat-Bulk
Functional: PBE
Structure: relaxed

Structure (POSCAR):
```
LuMgCdHg
1.0
0.000 3.548 3.548
3.548 0.000 3.548
3.548 3.548 0.000
Lu Mg Cd Hg
1 1 1 1
direct
0.000 0.000 0.000
0.500 0.500 0.500
0.250 0.250 0.250
0.750 0.750 0.750
```

distance to the lowest polymorph of the same formula = 0 meV per atom
energy = -2.161 eV/atom
symmetry = No. 216
crystal system = cubic
magnetization = 0.00 μB per formula unit